# HoPdPtAu (PBE, optimized geometry)
data_HoPdPtAu
_cell_length_a 3.999
_cell_length_b 4.232
_cell_length_c 4.257
_cell_angle_alpha 90.00
_cell_angle_beta 90.00
_cell_angle_gamma 90.00
_space_group_name_H-M_alt 'P m m m'
_space_group_IT_number 47
loop_
_space_group_symop_operation_xyz
'x,y,z'
'-x,-y,-z'
'-x,-y,z'
'x,y,-z'
'x,-y,-z'
'-x,y,z'
'-x,y,-z'
'x,-y,z'
loop_
_atom_site_label
_atom_site_type_symbol
_atom_site_fract_x
_atom_site_fract_y
_atom_site_fract_z
Ho1 Ho 0.000 0.000 0.000
Pd1 Pd 0.500 0.500 0.000
Pt1 Pt 0.500 0.000 0.500
Au1 Au 0.000 0.500 0.500
# DFT total energy: -5.689 eV per atom
# energy relative to the elements: -917 meV/atom
# magnetization: 0.00 μB/cell
# crystal system: orthorhombic